Record 1
# Ge2P3 (PBE, optimized geometry)
# Energy above the most stable polymorph in this dataset = 0.0 kJ/mol of formula units
data_Ge2P3
_space_group_name_H-M_alt 'C 1 2/m 1'
_space_group_IT_number 12
_cell_length_a 5.4541
_cell_length_b 16.2449
_cell_length_c 4.8320
_cell_angle_alpha 90.00
_cell_angle_beta 107.93
_cell_angle_gamma 90.00
loop_
_space_group_symop_operation_xyz
'x,y,z'
'-x,-y,-z'
'-x,y,-z'
'x,-y,z'
'x+1/2,y+1/2,z'
'-x+1/2,-y+1/2,-z'
'-x+1/2,y+1/2,-z'
'x+1/2,-y+1/2,z'
loop_
_atom_site_label
_atom_site_type_symbol
_atom_site_fract_x
_atom_site_fract_y
_atom_site_fract_z
Ge1 Ge 0.0000 0.1692 0.0000
Ge2 Ge 0.2500 0.2500 0.5000
P1 P 0.1701 0.3907 0.1908
P2 P 0.2050 0.5000 0.4800



Record 2
# Sb2PbW (PBE, optimized geometry)
# Formation energy (no corrections) = 0.36 eV per atom
data_Sb2PbW
_space_group_name_H-M_alt 'C 1 m 1'
_space_group_IT_number 8
_cell_length_a 9.5773
_cell_length_b 3.5122
_cell_length_c 6.8687
_cell_angle_alpha 90.00
_cell_angle_beta 109.16
_cell_angle_gamma 90.00
loop_
_space_group_symop_operation_xyz
'x,y,z'
'x,-y,z'
'x+1/2,y+1/2,z'
'x+1/2,-y+1/2,z'
loop_
_atom_site_label
_atom_site_type_symbol
_atom_site_fract_x
_atom_site_fract_y
_atom_site_fract_z
Sb1 Sb 0.0000 0.0000 0.0000
Sb2 Sb 0.1609 0.0000 0.6527
Pb1 Pb 0.3412 0.0000 0.3452
W1 W 0.2089 0.5000 0.9697



Record 3
# IrRuRh (PBE, optimized geometry)
# Energy above the most stable polymorph in this dataset = 0.0 kJ/mol of formula units
data_IrRuRh
_space_group_name_H-M_alt 'C m c m'
_space_group_IT_number 63
_space_group_name_Hall '-C 2c 2'
_cell_length_a 2.7408
_cell_length_b 14.2718
_cell_length_c 4.3594
_cell_angle_alpha 90.00
_cell_angle_beta 90.00
_cell_angle_gamma 90.00
loop_
_atom_site_label
_atom_site_type_symbol
_atom_site_fract_x
_atom_site_fract_y
_atom_site_fract_z
Ir1 Ir 0.0000 0.1094 0.2500
Ru1 Ru 0.0000 0.4454 0.2500
Rh1 Rh 0.0000 0.2205 0.7500



Record 4
# NbTlAg (PBE, optimized geometry)
# Energy above the most stable polymorph in this dataset = 29.8 kJ/mol of formula units
data_NbTlAg
_space_group_name_H-M_alt 'P -1'
_space_group_IT_number 2
_cell_length_a 3.0085
_cell_length_b 5.6306
_cell_length_c 7.9492
_cell_angle_alpha 72.28
_cell_angle_beta 79.20
_cell_angle_gamma 75.62
loop_
_space_group_symop_operation_xyz
'x,y,z'
'-x,-y,-z'
loop_
_atom_site_label
_atom_site_type_symbol
_atom_site_fract_x
_atom_site_fract_y
_atom_site_fract_z
Nb1 Nb 0.1213 0.2359 0.4717
Tl1 Tl 0.1638 0.8132 0.8655
Ag1 Ag 0.4521 0.3255 0.7731



Record 5
# Na5B7C3 (PBE, optimized geometry)
# Energy above the most stable polymorph in this dataset = 20.0 kJ/mol of formula units
data_Na5B7C3
_space_group_name_H-M_alt 'C 1 m 1'
_space_group_IT_number 8
_cell_length_a 22.9944
_cell_length_b 2.8402
_cell_length_c 9.9633
_cell_angle_alpha 90.00
_cell_angle_beta 107.06
_cell_angle_gamma 90.00
loop_
_space_group_symop_operation_xyz
'x,y,z'
'x,-y,z'
'x+1/2,y+1/2,z'
'x+1/2,-y+1/2,z'
loop_
_atom_site_label
_atom_site_type_symbol
_atom_site_fract_x
_atom_site_fract_y
_atom_site_fract_z
Na1 Na 0.0000 0.0000 0.0000
Na2 Na 0.9998 0.5000 0.4972
Na3 Na 0.0999 0.0000 0.6962
Na4 Na 0.0996 0.5000 0.1988
Na5 Na 0.1997 0.0000 0.4009
Na6 Na 0.2018 0.5000 0.8959
Na7 Na 0.3002 0.5000 0.6014
Na8 Na 0.3027 0.0000 0.0986
Na9 Na 0.4003 0.0000 0.8006
Na10 Na 0.4008 0.5000 0.3002
B1 B 0.0117 0.5000 0.7725
B2 B 0.0784 0.5000 0.9057
B3 B 0.0809 0.0000 0.4110
B4 B 0.1190 0.0000 0.9858
B5 B 0.1773 0.5000 0.6024
B6 B 0.1837 0.0000 0.1143
B7 B 0.2183 0.0000 0.6833
B8 B 0.2251 0.5000 0.1967
B9 B 0.2904 0.0000 0.8279
B10 B 0.3155 0.0000 0.3782
B11 B 0.3820 0.0000 0.5130
B12 B 0.3875 0.5000 0.0230
B13 B 0.4201 0.5000 0.5891
B14 B 0.4843 0.0000 0.2176
C1 C 0.0162 0.0000 0.2818
C2 C 0.1133 0.5000 0.4760
C3 C 0.2852 0.5000 0.3158
C4 C 0.3222 0.5000 0.8922
C5 C 0.4193 0.0000 0.0870
C6 C 0.4818 0.5000 0.7128



Record 6
# YScAu2 (PBE, optimized geometry)
# Energy above the most stable polymorph in this dataset = 65.0 kJ/mol of formula units
data_YScAu2
_space_group_name_H-M_alt 'P 4 m m'
_space_group_IT_number 99
_cell_length_a 3.8041
_cell_length_b 3.8041
_cell_length_c 6.2784
_cell_angle_alpha 90.00
_cell_angle_beta 90.00
_cell_angle_gamma 90.00
loop_
_space_group_symop_operation_xyz
'x,y,z'
'-y,x,z'
'-x,-y,z'
'y,-x,z'
'-x,y,z'
'y,x,z'
'x,-y,z'
'-y,-x,z'
loop_
_atom_site_label
_atom_site_type_symbol
_atom_site_fract_x
_atom_site_fract_y
_atom_site_fract_z
Y1 Y 0.0000 0.0000 0.0000
Sc1 Sc 0.5000 0.5000 0.6500
Au1 Au 0.0000 0.0000 0.4940
Au2 Au 0.5000 0.5000 0.1949



Record 7
# Pr2HgAu (PBE, optimized geometry)
# Energy above the most stable polymorph in this dataset = 4.9 kJ/mol of formula units
data_Pr2HgAu
_space_group_name_H-M_alt 'F m -3 m'
_space_group_IT_number 225
_space_group_name_Hall '-F 4 2 3'
_cell_length_a 7.6070
_cell_length_b 7.6070
_cell_length_c 7.6070
_cell_angle_alpha 90.00
_cell_angle_beta 90.00
_cell_angle_gamma 90.00
loop_
_atom_site_label
_atom_site_type_symbol
_atom_site_fract_x
_atom_site_fract_y
_atom_site_fract_z
Pr1 Pr 0.2500 0.2500 0.2500
Hg1 Hg 0.0000 0.0000 0.0000
Au1 Au 0.0000 0.0000 0.5000



Record 8
# LiGdMgAl (PBE, optimized geometry)
# Raw total energy = -5.547 eV/atom
data_LiGdMgAl
_space_group_name_H-M_alt 'F -4 3 m'
_space_group_IT_number 216
_space_group_name_Hall 'F -4 2 3'
_cell_length_a 6.9969
_cell_length_b 6.9969
_cell_length_c 6.9969
_cell_angle_alpha 90.00
_cell_angle_beta 90.00
_cell_angle_gamma 90.00
loop_
_atom_site_label
_atom_site_type_symbol
_atom_site_fract_x
_atom_site_fract_y
_atom_site_fract_z
Li1 Li 0.0000 0.0000 0.0000
Gd1 Gd 0.2500 0.2500 0.7500
Mg1 Mg 0.2500 0.2500 0.2500
Al1 Al 0.0000 0.0000 0.5000